TbY2MnN4 (PBE, optimized geometry); crystal system = orthorhombic; magnetization = 0.00 μB/atom; energy relative to the elements, uncorrected = -26.89 kcal/mol of atoms
1.0
-2.174 -1.928 1.694
1.620 -3.097 -4.786
8.737 -4.623 5.949
Tb Y Mn N
2 4 2 8
Cartesian
6.679 -4.430 3.528
1.504 -5.219 -0.671
5.142 -5.502 0.335
-0.565 -2.238 0.066
3.041 -4.146 2.522
8.748 -7.410 2.791
5.838 -7.263 2.563
2.346 -2.386 0.294
1.453 -2.789 -1.310
4.698 -5.784 2.784
6.730 -6.859 4.167
3.485 -3.864 0.073
4.369 -2.312 2.975
0.000 0.000 0.000
7.007 -6.925 1.108
1.177 -2.723 1.749